No. 1
HfCuTcTe after structural relaxation, computed with PBE.

Values from the calculation:
offset from the most stable computed form	43	meV/atom
calculated density	11.31	g/cm³
space-group type	F-43m, No. 216

Cell lengths 4.597, 4.597, 4.597 Å; angles 60.00, 60.00, 60.00 degrees
Positions (direct):
1 Cu 0.750 0.750 0.750
2 Hf 0.500 0.500 0.500
3 Tc 0.000 0.000 0.000
4 Te 0.250 0.250 0.250

=====

No. 2
DyInAsO after structural relaxation, computed with PBE.

Values from the calculation:
offset from the most stable computed form	0	meV/atom
calculated density	7.50	g/cm³
space-group type	P4/nmm, No. 129

Cell lengths 4.083, 4.083, 9.779 Å; angles 90.00, 90.00, 90.00 degrees
Positions (direct):
1 As 0.000 0.500 0.278
2 As 0.500 0.000 0.722
3 Dy 0.500 0.000 0.104
4 Dy 0.000 0.500 0.896
5 In 0.000 0.000 0.500
6 In 0.500 0.500 0.500
7 O 0.000 0.000 0.000
8 O 0.500 0.500 0.000

=====

No. 3
InCuHgW after structural relaxation, computed with PBE.

Values from the calculation:
offset from the most stable computed form	0	meV/atom
calculated density	12.83	g/cm³
space-group type	F-43m, No. 216

Cell lengths 4.687, 4.687, 4.687 Å; angles 60.00, 60.00, 60.00 degrees
Positions (direct):
1 Cu 0.750 0.750 0.750
2 Hg 0.500 0.500 0.500
3 In 0.000 0.000 0.000
4 W 0.250 0.250 0.250

=====

No. 4
Tb2HoAl3Ge2Au after structural relaxation, computed with PBE.

Values from the calculation:
calculated density	8.16	g/cm³
space-group type	Amm2, No. 38
uncorrected energy	-0.180	Ha/atom

Cell lengths 4.271, 7.056, 7.056 Å; angles 119.89, 90.00, 90.00 degrees
Positions (direct):
1 Al 0.500 0.000 0.238
2 Al 0.500 0.763 0.763
3 Al 0.500 0.238 0.000
4 Au 0.000 0.003 0.003
5 Ge 0.500 0.665 0.334
6 Ge 0.500 0.334 0.665
7 Ho 0.000 0.415 0.415
8 Tb 0.000 0.999 0.585
9 Tb 0.000 0.585 0.999

=====

No. 5
Y2AlCd2In after structural relaxation, computed with PBE.

Values from the calculation:
calculated density	5.73	g/cm³
space-group type	Pm, No. 6
uncorrected energy	-0.139	Ha/atom

Cell lengths 11.791, 4.817, 11.794 Å; angles 90.00, 109.48, 90.00 degrees
Positions (direct):
1 Al 0.999 0.000 0.248
2 Al 0.751 0.000 0.502
3 Al 0.501 0.000 0.750
4 Al 0.873 0.500 0.874
5 Cd 0.375 0.500 0.125
6 Cd 0.757 0.000 0.256
7 Cd 0.119 0.500 0.368
8 Cd 0.504 0.000 0.506
9 Cd 0.872 0.500 0.628
10 Cd 0.255 0.000 0.748
11 Cd 0.626 0.500 0.871
12 Cd 0.993 0.000 0.998
13 In 0.627 0.500 0.127
14 In 0.375 0.500 0.375
15 In 0.126 0.500 0.624
16 In 0.249 0.000 0.999
17 Y 0.747 0.000 0.000
18 Y 0.120 0.500 0.120
19 Y 0.504 0.000 0.254
20 Y 0.875 0.500 0.380
21 Y 0.248 0.000 0.495
22 Y 0.626 0.500 0.626
23 Y 0.000 0.000 0.750
24 Y 0.379 0.500 0.875

=====

No. 6
RbLiIr after structural relaxation, computed with PBE.

Values from the calculation:
offset from the most stable computed form	0	meV/atom
calculated density	6.09	g/cm³
space-group type	F-43m, No. 216

Cell lengths 4.787, 4.787, 4.787 Å; angles 60.00, 60.00, 60.00 degrees
Positions (direct):
1 Ir 0.250 0.250 0.250
2 Li 0.000 0.000 0.000
3 Rb 0.750 0.750 0.750

=====

No. 7
Na2TaNbGe2Os2 after structural relaxation, computed with PBE.

Values from the calculation:
calculated density	11.13	g/cm³
space-group type	P-4m2, No. 115
uncorrected energy	-0.255	Ha/atom

Cell lengths 4.468, 4.468, 6.319 Å; angles 90.00, 90.00, 90.00 degrees
Positions (direct):
1 Ge 0.500 0.500 0.000
2 Ge 0.000 0.000 0.500
3 Na 0.500 0.000 0.249
4 Na 0.000 0.500 0.751
5 Nb 0.000 0.000 0.000
6 Os 0.000 0.500 0.252
7 Os 0.500 0.000 0.748
8 Ta 0.500 0.500 0.500

=====

No. 8
DyNbN2O after structural relaxation, computed with PBE.

Values from the calculation:
calculated density	7.92	g/cm³
space-group type	P1, No. 1
uncorrected energy	-0.332	Ha/atom

Cell lengths 5.609, 5.621, 9.734 Å; angles 90.19, 106.73, 119.71 degrees
Positions (direct):
1 Dy 0.734 0.335 0.119
2 Dy 0.246 0.149 0.381
3 Dy 0.750 0.846 0.636
4 Dy 0.250 0.646 0.872
5 N 0.752 0.761 0.126
6 N 0.188 0.340 0.158
7 N 0.805 0.168 0.334
8 N 0.684 0.608 0.414
9 N 0.323 0.429 0.599
10 N 0.746 0.262 0.623
11 N 0.183 0.854 0.652
12 N 0.693 0.085 0.900
13 Nb 0.984 0.993 0.015
14 Nb 0.510 0.740 0.261
15 Nb 0.980 0.468 0.504
16 Nb 0.485 0.225 0.742
17 O 0.320 0.906 0.078
18 O 0.236 0.751 0.360
19 O 0.843 0.669 0.842
20 O 0.286 0.266 0.884

=====

No. 9
SnHPd3 after structural relaxation, computed with PBE.

Values from the calculation:
calculated density	10.73	g/cm³
space-group type	Pm-3m, No. 221
uncorrected energy	-0.183	Ha/atom

Cell lengths 4.081, 4.081, 4.081 Å; angles 90.00, 90.00, 90.00 degrees
Positions (direct):
1 H 0.000 0.000 0.000
2 Pd 0.500 0.000 0.000
3 Pd 0.000 0.500 0.000
4 Pd 0.000 0.000 0.500
5 Sn 0.500 0.500 0.500

=====

No. 10
CoTcAsIr after structural relaxation, computed with PBE.

Values from the calculation:
offset from the most stable computed form	0	meV/atom
calculated density	12.48	g/cm³
space-group type	F-43m, No. 216

Cell lengths 4.305, 4.305, 4.305 Å; angles 60.00, 60.00, 60.00 degrees
Positions (direct):
1 As 0.000 0.000 0.000
2 Co 0.750 0.750 0.750
3 Ir 0.500 0.500 0.500
4 Tc 0.250 0.250 0.250

=====

No. 11
PuZnGe after structural relaxation, computed with PBE.

Values from the calculation:
calculated density	9.61	g/cm³
space-group type	F-43m, No. 216
uncorrected energy	-0.253	Ha/atom

Cell lengths 4.536, 4.536, 4.536 Å; angles 60.00, 60.00, 60.00 degrees
Positions (direct):
1 Ge 0.000 0.000 0.000
2 Pu 0.250 0.250 0.250
3 Zn 0.750 0.750 0.750

=====

No. 12
HfSc3C2Se2 after structural relaxation, computed with PBE.

Values from the calculation:
calculated density	6.31	g/cm³
space-group type	P3m1, No. 156
uncorrected energy	-0.293	Ha/atom

Cell lengths 3.485, 3.485, 12.383 Å; angles 90.00, 90.00, 120.00 degrees
Positions (direct):
1 C 0.667 0.333 0.005
2 C 0.667 0.333 0.499
3 Hf 0.000 0.000 0.096
4 Sc 0.000 0.000 0.405
5 Sc 0.333 0.667 0.598
6 Sc 0.333 0.667 0.900
7 Se 0.333 0.667 0.247
8 Se 0.000 0.000 0.750